YCd2Re GGA-PBE optimized geometry; spin magnetization = 0.0 μB per formula unit; E above lowest polymorph = 200 meV per atom; ΔH_f (0 K) = 1.76 eV/f.u.
1.0
-4.046 1.681 2.243
-3.833 -2.999 0.732
-1.102 -1.519 4.550
Cd Re Y
2 1 1
Direct
0.000 0.000 0.000 Cd
0.250 0.250 0.250 Cd
0.500 0.500 0.500 Re
0.750 0.750 0.750 Y